## one
CeHo2Ir | Alexandria via LeMat-Bulk | PBE | relaxed; symmetry = P4/mmm; density = 10.61 g/cm³
1.0
3.4432 0.0000 0.0000
0.0000 3.4432 0.0000
0.0000 0.0000 8.7396
Ce Ho Ir
1 2 1
Cartesian
0.0000 0.0000 0.0000 Ce
1.7216 1.7216 2.7280 Ho
1.7216 1.7216 6.0116 Ho
0.0000 0.0000 4.3698 Ir

## two
CeHo2Ir | Alexandria via LeMat-Bulk | PBE | relaxed; symmetry = Pnma; density = 10.20 g/cm³
1.0
7.1350 0.0000 0.0000
0.0000 9.4083 0.0000
0.0000 0.0000 6.4246
Ce Ho Ir
4 8 4
Cartesian
0.2772 2.3521 0.9241 Ce
3.2903 7.0562 4.1365 Ce
3.8447 2.3521 2.2882 Ce
6.8578 7.0562 5.5005 Ce
1.2615 0.6036 4.2845 Ho
1.2615 4.1005 4.2845 Ho
2.3060 5.3078 1.0722 Ho
2.3060 8.8046 1.0722 Ho
4.8290 0.6036 5.3524 Ho
4.8290 4.1005 5.3524 Ho
5.8735 5.3078 2.1401 Ho
5.8735 8.8046 2.1401 Ho
0.8956 7.0562 2.9146 Ir
2.6719 2.3521 6.1270 Ir
4.4631 7.0562 0.2977 Ir
6.2394 2.3521 3.5100 Ir

Name the most stable of them. two.

## one
CeHo2Ir | Alexandria via LeMat-Bulk | PBE | relaxed; symmetry = R3m; density = 9.09 g/cm³
1.0
1.9602 1.1317 9.0850
-1.9602 1.1317 9.0850
0.0000 -2.2634 9.0850
Ce Ho Ir
1 2 1
Cartesian
0.0000 0.0000 0.0000 Ce
0.0000 0.0000 15.1061 Ho
0.0000 0.0000 21.1275 Ho
0.0000 0.0000 4.4868 Ir

## two
CeHo2Ir | Alexandria via LeMat-Bulk | PBE | relaxed; symmetry = R-3m; density = 8.79 g/cm³
1.0
1.8561 1.0716 10.4804
-1.8561 1.0716 10.4804
0.0000 -2.1433 10.4804
Ce Ho Ir
1 2 1
Cartesian
0.0000 0.0000 0.0000 Ce
0.0000 0.0000 3.5594 Ho
0.0000 0.0000 27.8817 Ho
0.0000 0.0000 15.7206 Ir

Name the most stable of them. one.

## one
CeHoIrPd | Alexandria via LeMat-Bulk | PBE | relaxed; symmetry = Amm2; density = 11.29 g/cm³
1.0
4.1750 0.0000 0.0000
0.0000 1.9057 5.5823
0.0000 -1.9057 5.5823
Ce Ho Ir Pd
1 1 1 1
Cartesian
0.0000 0.0000 0.0000 Ce
2.0875 0.0000 3.0857 Ho
2.0875 0.0000 5.9949 Ir
0.0000 0.0000 8.0495 Pd

## two
CeHoIrPd | Alexandria via LeMat-Bulk | PBE | relaxed; symmetry = F-43m; density = 11.71 g/cm³
1.0
0.0000 3.4981 3.4981
3.4981 0.0000 3.4981
3.4981 3.4981 0.0000
Ce Ho Ir Pd
1 1 1 1
Cartesian
0.0000 0.0000 0.0000 Ce
3.4981 3.4981 3.4981 Ho
5.2472 5.2472 5.2472 Ir
1.7491 1.7491 1.7491 Pd

Name the most stable of them. one.

## one
CeHoTlIr | Alexandria via LeMat-Bulk | PBE | relaxed; symmetry = F-43m; density = 12.06 g/cm³
1.0
0.0000 3.6415 3.6415
3.6415 0.0000 3.6415
3.6415 3.6415 0.0000
Ce Ho Tl Ir
1 1 1 1
Cartesian
0.0000 0.0000 0.0000 Ce
3.6415 3.6415 3.6415 Ho
1.8208 1.8208 1.8208 Tl
5.4623 5.4623 5.4623 Ir

## two
CeHoTlIr | Alexandria via LeMat-Bulk | PBE | relaxed; symmetry = P4mm; density = 11.91 g/cm³
1.0
3.4524 0.0000 0.0000
0.0000 3.4524 0.0000
0.0000 0.0000 8.2084
Ce Ho Tl Ir
1 1 1 1
Cartesian
0.0000 0.0000 0.0000 Ce
0.0000 0.0000 4.8107 Ho
1.7262 1.7262 2.4621 Tl
1.7262 1.7262 6.4518 Ir

Name the most stable of them. two.